w | Compound: AlFeB3
Source: the Alexandria database
Functional: PBE-GGA
Structure: optimized geometry

Values from the calculation:
**Fermi-level density of states**: 7.7 states/eV/f.u.
**Density**: 3.007 Mg/m³

Cell lengths 3.9928, 3.9928, 3.9928 Å; angles 90.00, 90.00, 90.00 degrees
Sites, in units of the cell vectors:
B: 0.0000 0.5000 0.0000
B: 0.0000 0.0000 0.5000
B: 0.5000 0.0000 0.0000
Fe: 0.5000 0.5000 0.5000
Al: 0.0000 0.0000 0.0000

---

x | Compound: AlFeB3
Source: the Alexandria database
Functional: PBE-GGA
Structure: optimized geometry

Values from the calculation:
**Fermi-level density of states**: 3.4 states/eV/f.u.
**Density**: 3.487 Mg/m³

Cell lengths 3.8002, 3.8002, 3.8002 Å; angles 90.00, 90.00, 90.00 degrees
Sites, in units of the cell vectors:
B: 0.0000 0.5000 0.0000
B: 0.0000 0.0000 0.5000
B: 0.5000 0.0000 0.0000
Fe: 0.0000 0.0000 0.0000
Al: 0.5000 0.5000 0.5000

---

Most stable structure - x; separation to the second - 1370 meV/atom.

---

w | Compound: AlFe4B
Source: the Alexandria database
Functional: PBE-GGA
Structure: optimized geometry

Values from the calculation:
**Fermi-level density of states**: 4.9 states/eV/f.u.
**Density**: 6.147 Mg/m³

Cell lengths 2.8366, 3.9268, 6.3555 Å; angles 89.94, 85.32, 90.02 degrees
Sites, in units of the cell vectors:
Al: 0.5012 0.4972 0.9982
Fe: 0.5087 0.9969 0.2670
Fe: 0.4940 0.9977 0.7292
Fe: 0.0491 0.4976 0.6749
Fe: 0.9534 0.4970 0.3214
B: 0.0014 0.9972 0.4981

---

x | Compound: AlFe4B
Source: the Alexandria database
Functional: PBE-GGA
Structure: optimized geometry

Values from the calculation:
**Fermi-level density of states**: 5.2 states/eV/f.u.
**Density**: 6.437 Mg/m³

Cell lengths 4.9401, 5.7335, 6.2600 Å; angles 120.62, 117.01, 82.52 degrees
Sites, in units of the cell vectors:
Al: 0.2288 0.4788 0.9575
Al: 0.7712 0.5212 0.0425
Fe: 0.1409 0.2193 0.1276
Fe: 0.4867 0.9083 0.1276
Fe: 0.3109 0.5010 0.6066
Fe: 0.6891 0.4990 0.3934
Fe: 0.2043 0.8944 0.3934
Fe: 0.5133 0.0917 0.8724
Fe: 0.7957 0.1056 0.6066
Fe: 0.8591 0.7807 0.8724
B: 0.1076 0.8576 0.7152
B: 0.8924 0.1424 0.2848

---

Most stable structure - x; separation to the second - 42 meV/atom.

---

w | Compound: AlGaB3
Source: the Alexandria database
Functional: PBE-GGA
Structure: optimized geometry

Values from the calculation:
**Fermi-level density of states**: 3.1 states/eV/f.u.
**Density**: 3.007 Mg/m³

Cell lengths 4.1470, 4.1470, 4.1470 Å; angles 90.00, 90.00, 90.00 degrees
Sites, in units of the cell vectors:
B: 0.0000 0.5000 0.0000
B: 0.0000 0.0000 0.5000
B: 0.5000 0.0000 0.0000
Al: 0.5000 0.5000 0.5000
Ga: 0.0000 0.0000 0.0000

---

x | Compound: AlGaB3
Source: the Alexandria database
Functional: PBE-GGA
Structure: optimized geometry

Values from the calculation:
**Fermi-level density of states**: 3.2 states/eV/f.u.
**Density**: 2.919 Mg/m³

Cell lengths 4.1883, 4.1883, 4.1883 Å; angles 90.00, 90.00, 90.00 degrees
Sites, in units of the cell vectors:
B: 0.0000 0.5000 0.0000
B: 0.0000 0.0000 0.5000
B: 0.5000 0.0000 0.0000
Al: 0.0000 0.0000 0.0000
Ga: 0.5000 0.5000 0.5000

---

Most stable structure - x; separation to the second - 120 meV/atom.

---

w | Compound: AlGa3B
Source: the Alexandria database
Functional: PBE-GGA
Structure: optimized geometry

Values from the calculation:
**Fermi-level density of states**: 2.6 states/eV/f.u.
**Density**: 4.789 Mg/m³

Cell lengths 4.4075, 4.4075, 4.4075 Å; angles 90.00, 90.00, 90.00 degrees
Sites, in units of the cell vectors:
B: 0.0000 0.0000 0.0000
Al: 0.5000 0.5000 0.5000
Ga: 0.0000 0.5000 0.0000
Ga: 0.0000 0.0000 0.5000
Ga: 0.5000 0.0000 0.0000

---

x | Compound: AlGa3B
Source: the Alexandria database
Functional: PBE-GGA
Structure: optimized geometry

Values from the calculation:
**Fermi-level density of states**: 4.2 states/eV/f.u.
**Density**: 3.485 Mg/m³

Cell lengths 4.9004, 4.9004, 4.9004 Å; angles 90.00, 90.00, 90.00 degrees
Sites, in units of the cell vectors:
B: 0.5000 0.5000 0.5000
Al: 0.0000 0.0000 0.0000
Ga: 0.0000 0.5000 0.0000
Ga: 0.0000 0.0000 0.5000
Ga: 0.5000 0.0000 0.0000

---

Most stable structure - w; separation to the second - 777 meV/atom.

---

w | Compound: AlGeB3
Source: the Alexandria database
Functional: PBE-GGA
Structure: optimized geometry

Values from the calculation:
**Fermi-level density of states**: 1.9 states/eV/f.u.
**Density**: 3.029 Mg/m³

Cell lengths 4.1675, 4.1675, 4.1675 Å; angles 90.00, 90.00, 90.00 degrees
Sites, in units of the cell vectors:
Ge: 0.5000 0.5000 0.5000
B: 0.0000 0.5000 0.0000
B: 0.0000 0.0000 0.5000
B: 0.5000 0.0000 0.0000
Al: 0.0000 0.0000 0.0000

---

x | Compound: AlGeB3
Source: the Alexandria database
Functional: PBE-GGA
Structure: optimized geometry

Values from the calculation:
**Fermi-level density of states**: 2.3 states/eV/f.u.
**Density**: 3.090 Mg/m³

Cell lengths 4.1403, 4.1403, 4.1403 Å; angles 90.00, 90.00, 90.00 degrees
Sites, in units of the cell vectors:
Ge: 0.0000 0.0000 0.0000
B: 0.0000 0.5000 0.0000
B: 0.0000 0.0000 0.5000
B: 0.5000 0.0000 0.0000
Al: 0.5000 0.5000 0.5000

---

Most stable structure - w; separation to the second - 16 meV/atom.

---

w | Compound: Al2GeB
Source: the Alexandria database
Functional: PBE-GGA
Structure: optimized geometry

Values from the calculation:
**Fermi-level density of states**: 1.1 states/eV/f.u.
**Density**: 3.909 Mg/m³

Cell lengths 4.3541, 4.3541, 4.3541 Å; angles 60.00, 60.00, 60.00 degrees
Sites, in units of the cell vectors:
Ge: 0.5000 0.5000 0.5000
B: 0.0000 0.0000 0.0000
Al: 0.2500 0.2500 0.2500
Al: 0.7500 0.7500 0.7500

---

x | Compound: Al2GeB
Source: the Alexandria database
Functional: PBE-GGA
Structure: optimized geometry

Values from the calculation:
**Fermi-level density of states**: 2.0 states/eV/f.u.
**Density**: 2.732 Mg/m³

Cell lengths 3.7369, 3.7369, 7.2361 Å; angles 75.04, 75.04, 60.00 degrees
Sites, in units of the cell vectors:
Ge: 0.5000 0.5000 0.5000
B: 0.0000 0.0000 0.0000
Al: 0.1005 0.1005 0.6984
Al: 0.8995 0.8995 0.3016

---

Most stable structure - w; separation to the second - 154 meV/atom.